{
  "formula": "Ir2RuCl",
  "functional": "PBE",
  "state": "optimized geometry",
  "cell": [[2.813, 0.000, 0.000], [0.000, 3.603, 0.000], [0.000, 0.000, 6.521]],
  "species": ["Ir", "Ir", "Ru", "Cl"],
  "frac_coords": [[0.000, 0.000, 0.000], [0.500, 0.500, 0.207], [0.500, 0.500, 0.805], [0.500, 0.000, 0.512]],
  "polymorph_energy_mev_per_atom": 6,
  "dos_ef_per_ev_cell": 3.09,
  "total_magnetization_mub_per_cell": 0.00,
  "formation_energy_uncorrected_ev_per_atom": 0.44,
  "spacegroup": "Pmm2"
}



{
  "formula": "Ir2RuCl",
  "functional": "PBE",
  "state": "optimized geometry",
  "cell": [[8.646, 0.000, 0.000], [0.000, 2.782, 0.000], [-0.464, 0.000, 6.478]],
  "species": ["Ir", "Ir", "Ir", "Ir", "Ru", "Ru", "Cl", "Cl"],
  "frac_coords": [[0.000, 0.000, 0.000], [0.236, 0.500, 0.169], [0.500, 0.500, 0.000], [0.736, 0.000, 0.169], [0.469, 0.000, 0.332], [0.969, 0.500, 0.332], [0.040, 0.000, 0.642], [0.540, 0.500, 0.642]],
  "polymorph_energy_mev_per_atom": 39,
  "dos_ef_per_ev_cell": 9.03,
  "total_magnetization_mub_per_cell": 0.00,
  "formation_energy_uncorrected_ev_per_atom": 0.47,
  "spacegroup": "Cm"
}



{
  "formula": "Ir2RuCl",
  "functional": "PBE",
  "state": "optimized geometry",
  "cell": [[6.240, 0.000, 0.000], [0.000, 6.240, 0.000], [0.000, 0.000, 6.240]],
  "species": ["Ir", "Ir", "Ir", "Ir", "Ir", "Ir", "Ir", "Ir", "Ru", "Ru", "Ru", "Ru", "Cl", "Cl", "Cl", "Cl"],
  "frac_coords": [[0.000, 0.000, 0.000], [0.000, 0.500, 0.500], [0.250, 0.250, 0.250], [0.250, 0.750, 0.750], [0.500, 0.000, 0.500], [0.500, 0.500, 0.000], [0.750, 0.250, 0.750], [0.750, 0.750, 0.250], [0.250, 0.250, 0.750], [0.250, 0.750, 0.250], [0.750, 0.250, 0.250], [0.750, 0.750, 0.750], [0.000, 0.000, 0.500], [0.000, 0.500, 0.000], [0.500, 0.000, 0.000], [0.500, 0.500, 0.500]],
  "polymorph_energy_mev_per_atom": 549,
  "dos_ef_per_ev_cell": 22.87,
  "total_magnetization_mub_per_cell": 6.26,
  "formation_energy_uncorrected_ev_per_atom": 0.98,
  "spacegroup": "F-43m"
}



{
  "formula": "Ir2RuCl",
  "functional": "PBE",
  "state": "optimized geometry",
  "cell": [[2.797, 0.000, 0.000], [0.000, 2.797, 0.000], [0.000, 0.000, 8.143]],
  "species": ["Ir", "Ir", "Ru", "Cl"],
  "frac_coords": [[0.000, 0.000, 0.000], [0.500, 0.500, 0.228], [0.000, 0.000, 0.448], [0.500, 0.500, 0.660]],
  "polymorph_energy_mev_per_atom": 81,
  "dos_ef_per_ev_cell": 4.20,
  "total_magnetization_mub_per_cell": 0.00,
  "formation_energy_uncorrected_ev_per_atom": 0.51,
  "spacegroup": "P4mm"
}